No. 1
# RbBaMg2Au

A relaxed RbBaMg2Au crystal (GGA-PBE, Alexandria).

Its formation energy is -0.143 eV per atom. The calculation puts the density of states at the Fermi level at 0.719 states/eV/atom.

abc: 5.525 5.525 6.178
angles: 90.00 90.00 90.00
Fractional positions:
Mg: 0.000 0.500 0.000
Mg: 0.500 0.000 0.000
Au: 0.000 0.000 0.000
Ba: 0.000 0.000 0.500
Rb: 0.500 0.500 0.500


No. 2
# BaCaZn4

A relaxed BaCaZn4 crystal (GGA-PBE, Alexandria).

Its formation energy is -0.155 eV per atom. As for the energy above the most stable polymorph in this dataset: 0.052 eV per atom. The calculation puts the density of states at the Fermi level at 0.948 states/eV/atom.

abc: 5.810 5.810 5.810
angles: 60.00 60.00 60.00
Fractional positions:
Ba: 0.250 0.250 0.250
Ca: 0.000 0.000 0.000
Zn: 0.122 0.626 0.626
Zn: 0.626 0.626 0.626
Zn: 0.626 0.122 0.626
Zn: 0.626 0.626 0.122


No. 3
# CaPuGaIr

A relaxed CaPuGaIr crystal (GGA-PBE, Alexandria).

Its formation energy is -0.302 eV per atom. The calculation puts the density of states at the Fermi level at 1.919 states/eV/atom.

abc: 4.948 4.948 4.948
angles: 60.00 60.00 60.00
Site moments in Bohr magnetons follow the coordinates.
Fractional positions:
Ca: 0.000 0.000 0.000  0.01
Ir: 0.750 0.750 0.750  -0.24
Ga: 0.250 0.250 0.250  0.01
Pu: 0.500 0.500 0.500  5.09


No. 4
# Li4CuPd

A relaxed Li4CuPd crystal (GGA-PBE, Alexandria).

Its formation energy is -0.210 eV per atom. As for the energy above the most stable polymorph in this dataset: 0.000 eV per atom. The calculation puts the density of states at the Fermi level at 0.267 states/eV/atom.

abc: 4.315 5.006 5.006
angles: 95.85 114.70 114.70
Fractional positions:
Li: 0.247 0.414 0.580
Li: 0.247 0.080 0.914
Li: 0.753 0.920 0.086
Li: 0.753 0.586 0.420
Cu: 0.000 0.500 0.000
Pd: 0.500 0.000 0.500


No. 5
# LiHoZnGe

A relaxed LiHoZnGe crystal (GGA-PBE, Alexandria).

Its formation energy is -0.447 eV per atom. The calculation puts the density of states at the Fermi level at 0.263 states/eV/atom.

abc: 4.774 4.774 4.774
angles: 60.00 60.00 60.00
Fractional positions:
Zn: 0.500 0.500 0.500
Ge: 0.000 0.000 0.000
Ho: 0.750 0.750 0.750
Li: 0.250 0.250 0.250


No. 6
# TcBiO5

A relaxed TcBiO5 crystal (GGA-PBE, Alexandria).

Its formation energy without anion corrections is -1.16 eV per atom. The calculation puts the density of states at the Fermi level at 0.137 states/eV/atom.

abc: 5.573 5.573 7.556
angles: 70.23 70.23 71.45
Fractional positions:
Tc: 0.000 0.000 0.000
Tc: 0.000 0.000 0.500
Bi: 0.543 0.457 0.250
Bi: 0.457 0.543 0.750
O: 0.782 0.775 0.111
O: 0.289 0.706 0.458
O: 0.775 0.782 0.611
O: 0.926 0.074 0.250
O: 0.294 0.711 0.042
O: 0.706 0.289 0.958
O: 0.074 0.926 0.750
O: 0.225 0.218 0.389
O: 0.711 0.294 0.542
O: 0.218 0.225 0.889


No. 7
# PmMgRhPb

A relaxed PmMgRhPb crystal (GGA-PBE, Alexandria).

Its formation energy is -0.358 eV per atom. The calculation puts the density of states at the Fermi level at 0.410 states/eV/atom.

abc: 4.942 4.942 4.942
angles: 60.00 60.00 60.00
Fractional positions:
Pb: 0.500 0.500 0.500
Mg: 0.750 0.750 0.750
Rh: 0.250 0.250 0.250
Pm: 0.000 0.000 0.000


No. 8
# Cu2AgHSe

A relaxed Cu2AgHSe crystal (GGA-PBE, Alexandria).

The electronic total energy is -3.19 eV per atom. The calculation puts the density of states at the Fermi level at 0.246 states/eV/atom.

abc: 4.758 3.358 4.758
angles: 90.00 90.00 90.00
Fractional positions:
H: 0.000 0.500 0.000
Cu: 0.000 0.000 0.500
Cu: 0.500 0.000 0.000
Se: 0.000 0.000 0.000
Ag: 0.500 0.500 0.500


No. 9
# SbTe2HPd

A relaxed SbTe2HPd crystal (GGA-PBE, Alexandria).

As for the energy above the most stable polymorph in this dataset: 0.000 eV per atom. The calculation puts the density of states at the Fermi level at 0.818 states/eV/atom.

abc: 5.254 5.254 3.794
angles: 90.00 90.00 90.00
Fractional positions:
Sb: 0.000 0.000 0.500
Te: 0.000 0.500 0.000
Te: 0.500 0.000 0.000
Pd: 0.500 0.500 0.500
H: 0.000 0.000 0.000


No. 10
# VPt

A relaxed VPt crystal (GGA-PBE, Alexandria).

Its formation energy is -0.450 eV per atom. The calculation puts the density of states at the Fermi level at 1.168 states/eV/atom.

abc: 4.398 8.170 4.837
angles: 90.00 90.00 90.00
Site moments in Bohr magnetons follow the coordinates.
Fractional positions:
V: 0.500 0.337 0.989  0.23
V: 0.500 0.663 0.989  0.23
V: 0.500 0.837 0.489  0.23
V: 0.500 0.163 0.489  0.23
V: 0.000 0.000 0.678  0.64
V: 0.000 0.500 0.178  0.64
Pt: 0.000 0.328 0.677  0.00
Pt: 0.000 0.672 0.677  0.00
Pt: 0.000 0.828 0.177  0.00
Pt: 0.000 0.172 0.177  0.00
Pt: 0.500 0.000 0.992  0.01
Pt: 0.500 0.500 0.492  0.01


No. 11
# PuTi4S8

A relaxed PuTi4S8 crystal (GGA-PBE, Alexandria).

Its formation energy without anion corrections is -1.46 eV per atom. As for the energy above the most stable polymorph in this dataset: 0.000 eV per atom. The calculation puts the density of states at the Fermi level at 1.055 states/eV/atom.

abc: 6.914 6.914 7.546
angles: 62.73 62.73 60.00
Site moments in Bohr magnetons follow the coordinates.
Fractional positions:
Pu: 0.500 0.500 0.500  5.00
Ti: 0.000 0.500 0.000  0.15
Ti: 0.500 0.500 0.000  0.15
Ti: 0.500 0.000 0.000  0.15
Ti: 0.000 0.000 0.000  0.09
S: 0.750 0.238 0.774  -0.04
S: 0.762 0.250 0.226  -0.04
S: 0.250 0.762 0.226  -0.04
S: 0.762 0.762 0.226  -0.04
S: 0.739 0.739 0.783  -0.01
S: 0.261 0.261 0.217  -0.01
S: 0.238 0.238 0.774  -0.04
S: 0.238 0.750 0.774  -0.04


No. 12
# CaCuRu2

A relaxed CaCuRu2 crystal (GGA-PBE, Alexandria).

Its formation energy is 0.450 eV per atom. As for the energy above the most stable polymorph in this dataset: 0.216 eV per atom. The calculation puts the density of states at the Fermi level at 1.382 states/eV/atom.

abc: 5.510 5.510 5.510
angles: 149.07 129.25 60.63
Fractional positions:
Ru: 0.996 0.996 0.000
Ru: 0.776 0.276 0.500
Ca: 0.500 0.500 0.000
Cu: 0.228 0.728 0.500


Please write out number 3 again, unchanged.
# CaPuGaIr

A relaxed CaPuGaIr crystal (GGA-PBE, Alexandria).

Its formation energy is -0.302 eV per atom. The calculation puts the density of states at the Fermi level at 1.919 states/eV/atom.

abc: 4.948 4.948 4.948
angles: 60.00 60.00 60.00
Site moments in Bohr magnetons follow the coordinates.
Fractional positions:
Ca: 0.000 0.000 0.000  0.01
Ir: 0.750 0.750 0.750  -0.24
Ga: 0.250 0.250 0.250  0.01
Pu: 0.500 0.500 0.500  5.09


Question: Which formula does entry 9 have?
Answer: SbTe2HPd